[1]
A relaxed Sc2ReAu crystal. Source: Alexandria, functional PBE.

Cell lengths 10.2611, 10.2611, 10.2611 Å; angles 16.50, 16.50, 16.50 degrees
Sites, in units of the cell vectors:
Sc: 0.9138 0.9138 0.9138
Sc: 0.0862 0.0862 0.0862
Re: 0.0000 0.0000 0.0000
Au: 0.5000 0.5000 0.5000

Output
Total DFT energy (no corrections) ... -6.8052 eV/atom
Size of the total moment ... 0.0 μB/f.u.
Space group ... R-3m
Fermi-level density of states ... 3.199 states/eV/f.u.
Energy of formation from the pure elements ... 0.29 eV/atom

---

[2]
A relaxed Cs2Hg3Pd crystal. Source: Alexandria, functional PBE.

Cell lengths 4.8574, 6.4568, 13.1501 Å; angles 90.00, 90.00, 90.00 degrees
Sites, in units of the cell vectors:
Hg: 0.0000 0.2055 0.5658
Hg: 0.0000 0.0000 0.0000
Hg: 0.5000 0.5000 0.5000
Hg: 0.5000 0.7055 0.9342
Hg: 0.0000 0.7945 0.4342
Hg: 0.5000 0.2945 0.0658
Cs: 0.5000 0.7844 0.2108
Cs: 0.0000 0.2844 0.2892
Cs: 0.0000 0.7156 0.7108
Cs: 0.5000 0.2156 0.7892
Pd: 0.5000 0.0000 0.5000
Pd: 0.0000 0.5000 0.0000

Output
Total DFT energy (no corrections) ... -1.4764 eV/atom
Energy relative to the lowest polymorph listed for this composition ... 23 meV/atom
Size of the total moment ... 0.0 μB/f.u.
Space group ... Pnnm
Fermi-level density of states ... 2.799 states/eV/f.u.
Energy of formation from the pure elements ... -0.18 eV/atom

---

[3]
A relaxed MgZrF2 crystal. Source: Alexandria, functional PBE.

Cell lengths 8.0672, 8.0672, 8.0672 Å; angles 21.62, 21.62, 21.62 degrees
Sites, in units of the cell vectors:
F: 0.9009 0.9009 0.9009
F: 0.0991 0.0991 0.0991
Mg: 0.0000 0.0000 0.0000
Zr: 0.5000 0.5000 0.5000

Output
ΔE_f (raw) ... -1.990 eV per atom
Total DFT energy (no corrections) ... -5.4617 eV/atom
Energy relative to the lowest polymorph listed for this composition ... 163 meV/atom
Size of the total moment ... 0.0 μB/f.u.
Space group ... R-3m
Fermi-level density of states ... 1.878 states/eV/f.u.

---

[4]
A relaxed Zr6AgHg5 crystal. Source: Alexandria, functional PBE.

Cell lengths 4.4365, 8.2398, 8.2398 Å; angles 107.71, 105.62, 105.62 degrees
Sites, in units of the cell vectors:
Zr: 0.7503 0.9171 0.5838
Zr: 0.2497 0.4162 0.0829
Zr: 0.2508 0.7510 0.7510
Zr: 0.7503 0.5838 0.9171
Zr: 0.2497 0.0829 0.4162
Zr: 0.7492 0.2490 0.2490
Hg: 0.5000 0.1624 0.8376
Hg: 0.0000 0.3332 0.6668
Hg: 0.5000 0.5000 0.5000
Hg: 0.0000 0.6668 0.3332
Hg: 0.5000 0.8376 0.1624
Ag: 0.0000 0.0000 0.0000

Output
Total DFT energy (no corrections) ... -4.7853 eV/atom
Size of the total moment ... 0.0 μB/f.u.
Space group ... Immm
Fermi-level density of states ... 11.934 states/eV/f.u.
Energy of formation from the pure elements ... -0.15 eV/atom

---

[5]
A relaxed GaFeSiHN crystal. Source: Alexandria, functional PBE.

Cell lengths 2.8901, 2.8901, 6.9157 Å; angles 90.00, 90.00, 120.00 degrees
Each line ends with the local moment (μB).
Sites, in units of the cell vectors:
Ga: 0.0000 0.0000 0.6685  -0.04
Fe: 0.6667 0.3333 0.4087  1.12
N: 0.0000 0.0000 0.9722  -0.01
H: 0.3333 0.6667 0.3217  -0.01
Si: 0.6667 0.3333 0.0856  -0.03

Output
Total DFT energy (no corrections) ... -5.9624 eV/atom
Energy relative to the lowest polymorph listed for this composition ... 11 meV/atom
Size of the total moment ... 1.0 μB/f.u.
Space group ... P3m1
Fermi-level density of states ... 1.102 states/eV/f.u.

---

[6]
A relaxed Mn3FeRh crystal. Source: Alexandria, functional PBE.

Cell lengths 4.0937, 4.0937, 4.0937 Å; angles 90.00, 90.00, 90.00 degrees
Sites, in units of the cell vectors:
Mn: 0.5000 0.0000 0.0000
Mn: 0.0000 0.0000 0.5000
Mn: 0.0000 0.5000 0.0000
Rh: 0.5000 0.5000 0.5000
Fe: 0.0000 0.0000 0.0000

Output
Total DFT energy (no corrections) ... -7.4547 eV/atom
Energy relative to the lowest polymorph listed for this composition ... 0 meV/atom
Size of the total moment ... 0.0 μB/f.u.
Space group ... Pm-3m
Fermi-level density of states ... 10.797 states/eV/f.u.
Energy of formation from the pure elements ... 1.21 eV/atom

---

[7]
A relaxed MnSnTe2Pd crystal. Source: Alexandria, functional PBE.

Cell lengths 5.3684, 5.0086, 5.3684 Å; angles 90.00, 90.00, 90.00 degrees
Each line ends with the local moment (μB).
Sites, in units of the cell vectors:
Te: 0.5000 0.0000 0.0000  -0.01
Te: 0.0000 0.0000 0.5000  0.00
Mn: 0.5000 0.5000 0.5000  -0.11
Pd: 0.0000 0.0000 0.0000  -0.03
Sn: 0.0000 0.5000 0.0000  0.00

Output
ΔE_f (raw) ... 0.967 eV per atom
Total DFT energy (no corrections) ... -3.9624 eV/atom
Size of the total moment ... 0.2 μB/f.u.
Space group ... P4/mmm
Fermi-level density of states ... 5.490 states/eV/f.u.

---

[8]
A relaxed AlCoOs crystal. Source: Alexandria, functional PBE.

Cell lengths 4.5759, 4.5759, 4.5759 Å; angles 145.68, 133.13, 59.36 degrees
Each line ends with the local moment (μB).
Sites, in units of the cell vectors:
Os: 0.6696 0.6696 0.0000  0.25
Co: 0.3324 0.3324 0.0000  1.00
Al: 0.9979 0.9979 0.0000  -0.01

Output
Total DFT energy (no corrections) ... -7.4373 eV/atom
Energy relative to the lowest polymorph listed for this composition ... 92 meV/atom
Size of the total moment ... 1.2 μB/f.u.
Space group ... Imm2
Fermi-level density of states ... 3.379 states/eV/f.u.
Energy of formation from the pure elements ... -0.08 eV/atom

---

[9]
A relaxed CdAsRh2 crystal. Source: Alexandria, functional PBE.

Cell lengths 4.6238, 4.6238, 4.6238 Å; angles 125.16, 125.16, 81.27 degrees
Sites, in units of the cell vectors:
Rh: 0.5000 0.5000 0.0000
Rh: 0.0000 0.0000 0.0000
As: 0.2500 0.7500 0.5000
Cd: 0.7500 0.2500 0.5000

Output
Total DFT energy (no corrections) ... -5.1728 eV/atom
Energy relative to the lowest polymorph listed for this composition ... 157 meV/atom
Size of the total moment ... 0.0 μB/f.u.
Space group ... I4/mmm
Fermi-level density of states ... 1.531 states/eV/f.u.
Energy of formation from the pure elements ... -0.11 eV/atom

---

[10]
A relaxed MgMn2Cl crystal. Source: Alexandria, functional PBE.

Cell lengths 5.2962, 3.7615, 3.7615 Å; angles 90.00, 90.00, 90.00 degrees
Each line ends with the local moment (μB).
Sites, in units of the cell vectors:
Mn: 0.0000 0.0000 0.0000  3.67
Mn: 0.0000 0.5000 0.5000  3.67
Cl: 0.5000 0.5000 0.0000  0.04
Mg: 0.5000 0.0000 0.5000  -0.06

Output
ΔE_f (raw) ... 0.298 eV per atom
Total DFT energy (no corrections) ... -5.1475 eV/atom
Energy relative to the lowest polymorph listed for this composition ... 421 meV/atom
Size of the total moment ... 7.7 μB/f.u.
Space group ... P4/mmm
Fermi-level density of states ... 2.197 states/eV/f.u.

---

[11]
A relaxed KOsBr2 crystal. Source: Alexandria, functional PBE.

Cell lengths 5.5327, 5.5327, 5.5327 Å; angles 60.00, 60.00, 60.00 degrees
Each line ends with the local moment (μB).
Sites, in units of the cell vectors:
Br: 0.2500 0.2500 0.2500  0.22
Br: 0.0000 0.0000 0.0000  0.42
Os: 0.7500 0.7500 0.7500  3.51
K: 0.5000 0.5000 0.5000  0.02

Output
ΔE_f (raw) ... 1.059 eV per atom
Total DFT energy (no corrections) ... -2.8588 eV/atom
Energy relative to the lowest polymorph listed for this composition ... 1013 meV/atom
Size of the total moment ... 5.0 μB/f.u.
Space group ... F-43m
Fermi-level density of states ... 5.390 states/eV/f.u.

---

[12]
A relaxed Pm5DyErTm2 crystal. Source: Alexandria, functional PBE.

Cell lengths 5.6064, 10.4928, 10.6586 Å; angles 90.00, 90.00, 105.50 degrees
Sites, in units of the cell vectors:
Pm: 0.2983 0.5967 0.7071
Pm: 0.0162 0.0324 0.0184
Pm: 0.2803 0.5606 0.3115
Pm: 0.6138 0.2276 0.5217
Pm: 0.4825 0.9649 0.7428
Pm: 0.5175 0.0351 0.2428
Pm: 0.3862 0.7724 0.0217
Pm: 0.9838 0.9676 0.5184
Pm: 0.7017 0.4033 0.2071
Pm: 0.7197 0.4394 0.8115
Tm: 0.8859 0.7717 0.8101
Tm: 0.1141 0.2283 0.3101
Tm: 0.8885 0.7769 0.2397
Tm: 0.1115 0.2231 0.7397
Dy: 0.8012 0.6023 0.5111
Dy: 0.1988 0.3977 0.0111
Er: 0.4091 0.8183 0.4615
Er: 0.5909 0.1817 0.9615

Output
Total DFT energy (no corrections) ... -4.5034 eV/atom
Size of the total moment ... 0.0 μB/f.u.
Space group ... Cmc2_1
Fermi-level density of states ... 14.498 states/eV/f.u.
Energy of formation from the pure elements ... 0.15 eV/atom